{"formula": "Na2CrNi3F12", "functional": "PBE+U", "state": "optimized geometry", "cell": [[-1.344, 6.883, 2.183], [-5.015, 1.615, 5.117], [1.818, 2.454, 6.680]], "species": ["F", "F", "F", "F", "F", "F", "F", "F", "F", "F", "F", "F", "Ni", "Ni", "Ni", "Na", "Na", "Cr"], "frac_coords": [[0.069, 0.686, 0.069], [0.931, 0.931, 0.314], [0.665, 0.088, 0.665], [0.335, 0.912, 0.335], [0.931, 0.314, 0.931], [0.069, 0.069, 0.686], [0.314, 0.931, 0.931], [0.686, 0.069, 0.069], [0.335, 0.335, 0.912], [0.665, 0.665, 0.088], [0.088, 0.665, 0.665], [0.912, 0.335, 0.335], [0.000, 0.500, 0.000], [0.500, 0.000, 0.000], [0.000, 0.000, 0.500], [0.585, 0.585, 0.585], [0.415, 0.415, 0.415], [0.000, 0.000, 0.000]], "vol_a3_per_cell": 263.7, "final_energy_ev_per_cell": -81.3}